A plane-wave DFT calculation with PBE with a Hubbard U was carried out for RbMn2F6 after structural relaxation.

Cell lengths 5.5847, 5.5847, 5.9685 Å; angles 90.00, 90.00, 120.00 degrees
Space group P-31m (No. 162)
Symmetry-distinct sites (fractional):
Rb1 0.0000 0.0000 0.0000
Mn1 0.3333 0.6667 0.5000
F1 0.0000 0.3874 0.3142

## Properties
The calculation puts the calculated total energy at -50.7 eV for the cell shown. For the total moment, the calculation gives 9.000 μB/f.u.